The following is a GGA-PBE calculation of an optimized crystal structure of BaAsHBr2, from the Alexandria database.

Energy above the lowest structure with this stoichiometry = 0.000 eV per atom

Unit cell a=5.5461 b=5.5461 c=3.9176 alpha=90.00 beta=90.00 gamma=90.00
Last column: nearest neighbours and their distance in Å.
Space group P4/mmm (No. 123)
Asymmetric unit:
Ba1 0.0000 0.0000 0.0000  8 Br 3.40
As1 0.5000 0.5000 0.0000  2 H 1.96
H1 0.5000 0.5000 0.5000  2 As 1.96
Br1 0.0000 0.5000 0.5000  2 H 2.77